[1]
Density functional theory data (PBE-GGA) for a relaxed PrSm2Er5Th crystal.

Cell and atoms, written as CIF:
```
data_PrSm2Er5Th
_chemical_formula_sum 'Pr2 Sm4 Er10 Th2'
_symmetry_space_group_name_H-M 'P 1'
_symmetry_Int_Tables_number 1
_cell_length_a 8.7029
_cell_length_b 8.7029
_cell_length_c 9.8215
_cell_angle_alpha 116.30
_cell_angle_beta 116.30
_cell_angle_gamma 90.00
loop_
_symmetry_equiv_pos_as_xyz
'x,y,z'
loop_
_atom_site_label
_atom_site_type_symbol
_atom_site_fract_x
_atom_site_fract_y
_atom_site_fract_z
Er1 Er 0.0738 0.5738 0.7249
Sm1 Sm 0.3844 0.8844 0.0000
Er2 Er 0.8489 0.9262 0.2751
Er3 Er 0.4262 0.3489 0.2751
Er4 Er 0.9262 0.4262 0.2751
Er5 Er 0.0000 0.0000 0.0000
Pr1 Pr 0.2500 0.7500 0.5000
Th1 Th 0.2500 0.2500 0.5000
Er6 Er 0.3489 0.8489 0.2751
Er7 Er 0.6511 0.1511 0.7249
Th2 Th 0.7500 0.7500 0.5000
Sm2 Sm 0.1156 0.3844 0.0000
Er8 Er 0.1511 0.0738 0.7249
Pr2 Pr 0.7500 0.2500 0.5000
Sm3 Sm 0.8844 0.6156 0.0000
Sm4 Sm 0.6156 0.1156 0.0000
Er9 Er 0.5000 0.5000 0.0000
Er10 Er 0.5738 0.6511 0.7249
```

Calculated values
**Space-group type**: I4/mcm
**Formation energy from the elements**: 0.291 eV per atom
**Crystal system**: tetragonal

---

[2]
Density functional theory data (PBE-GGA) for a relaxed CdRe2As2 crystal.

Cell and atoms, written as CIF:
```
data_CdRe2As2
_chemical_formula_sum 'Cd1 Re2 As2'
_symmetry_space_group_name_H-M 'P 1'
_symmetry_Int_Tables_number 1
_cell_length_a 4.3939
_cell_length_b 4.3939
_cell_length_c 5.6424
_cell_angle_alpha 67.08
_cell_angle_beta 67.08
_cell_angle_gamma 90.00
loop_
_symmetry_equiv_pos_as_xyz
'x,y,z'
loop_
_atom_site_label
_atom_site_type_symbol
_atom_site_fract_x
_atom_site_fract_y
_atom_site_fract_z
As1 As 0.3692 0.3692 0.2616
As2 As 0.6308 0.6308 0.7384
Cd1 Cd 0.0000 0.0000 0.0000
Re1 Re 0.2500 0.7500 0.5000
Re2 Re 0.7500 0.2500 0.5000
```

Calculated values
**Space-group type**: I4/mmm
**Energy above the most stable polymorph in this dataset**: 0.000 eV/atom
**Formation energy from the elements**: 0.319 eV per atom
**Crystal system**: tetragonal

---

[3]
Density functional theory data (PBE-GGA) for a relaxed Zr2Tc crystal.

Cell and atoms, written as CIF:
```
data_Zr2Tc
_chemical_formula_sum 'Zr8 Tc4'
_symmetry_space_group_name_H-M 'P 1'
_symmetry_Int_Tables_number 1
_cell_length_a 5.9249
_cell_length_b 4.7500
_cell_length_c 8.4891
_cell_angle_alpha 90.00
_cell_angle_beta 90.00
_cell_angle_gamma 90.00
loop_
_symmetry_equiv_pos_as_xyz
'x,y,z'
loop_
_atom_site_label
_atom_site_type_symbol
_atom_site_fract_x
_atom_site_fract_y
_atom_site_fract_z
Tc1 Tc 0.8269 0.7500 0.0763
Tc2 Tc 0.6731 0.2500 0.5763
Tc3 Tc 0.1731 0.2500 0.9237
Zr1 Zr 0.0175 0.2500 0.2150
Zr2 Zr 0.9825 0.7500 0.7850
Tc4 Tc 0.3269 0.7500 0.4237
Zr3 Zr 0.8219 0.7500 0.4197
Zr4 Zr 0.3219 0.7500 0.0803
Zr5 Zr 0.6781 0.2500 0.9197
Zr6 Zr 0.4825 0.7500 0.7150
Zr7 Zr 0.5175 0.2500 0.2850
Zr8 Zr 0.1781 0.2500 0.5803
```

Calculated values
**Space-group type**: Pnma
**Energy above the most stable polymorph in this dataset**: 0.082 eV/atom
**Formation energy from the elements**: -0.193 eV per atom
**Crystal system**: orthorhombic

---

[4]
Density functional theory data (PBE-GGA) for a relaxed Tb3TmAu3 crystal.

Cell and atoms, written as CIF:
```
data_Tb3TmAu3
_chemical_formula_sum 'Tb6 Tm2 Au6'
_symmetry_space_group_name_H-M 'P 1'
_symmetry_Int_Tables_number 1
_cell_length_a 7.1609
_cell_length_b 7.1609
_cell_length_c 7.1493
_cell_angle_alpha 90.81
_cell_angle_beta 90.81
_cell_angle_gamma 94.88
loop_
_symmetry_equiv_pos_as_xyz
'x,y,z'
loop_
_atom_site_label
_atom_site_type_symbol
_atom_site_fract_x
_atom_site_fract_y
_atom_site_fract_z
Tb1 Tb 0.6733 0.6733 0.4155
Tb2 Tb 0.2596 0.7404 0.0000
Tm1 Tm 0.7430 0.7430 0.9161
Au1 Au 0.0262 0.4939 0.2765
Au2 Au 0.9738 0.5061 0.7235
Au3 Au 0.5061 0.9738 0.7235
Tb3 Tb 0.7404 0.2596 0.0000
Au4 Au 0.0501 0.0501 0.8010
Au5 Au 0.4939 0.0262 0.2765
Tm2 Tm 0.2570 0.2570 0.0839
Au6 Au 0.9499 0.9499 0.1990
Tb4 Tb 0.1870 0.8130 0.5000
Tb5 Tb 0.3267 0.3267 0.5845
Tb6 Tb 0.8130 0.1870 0.5000
```

Calculated values
**Space-group type**: C2/m
**Formation energy from the elements**: -0.646 eV per atom
**Crystal system**: monoclinic

---

[5]
Density functional theory data (PBE-GGA) for a relaxed LiErScRu crystal.

Cell and atoms, written as CIF:
```
data_LiErScRu
_chemical_formula_sum 'Li1 Er1 Sc1 Ru1'
_symmetry_space_group_name_H-M 'P 1'
_symmetry_Int_Tables_number 1
_cell_length_a 4.7465
_cell_length_b 4.7465
_cell_length_c 4.7465
_cell_angle_alpha 60.00
_cell_angle_beta 60.00
_cell_angle_gamma 60.00
loop_
_symmetry_equiv_pos_as_xyz
'x,y,z'
loop_
_atom_site_label
_atom_site_type_symbol
_atom_site_fract_x
_atom_site_fract_y
_atom_site_fract_z
Sc1 Sc 0.0000 0.0000 0.0000
Li1 Li 0.2500 0.2500 0.2500
Ru1 Ru 0.7500 0.7500 0.7500
Er1 Er 0.5000 0.5000 0.5000
```

Calculated values
**Space-group type**: F-43m
**Formation energy from the elements**: -0.325 eV per atom
**Crystal system**: cubic

---

[6]
Density functional theory data (PBE-GGA) for a relaxed Zr2ZnAgH crystal.

Cell and atoms, written as CIF:
```
data_Zr2ZnAgH
_chemical_formula_sum 'Zr2 Zn1 Ag1 H1'
_symmetry_space_group_name_H-M 'P 1'
_symmetry_Int_Tables_number 1
_cell_length_a 5.3424
_cell_length_b 3.1816
_cell_length_c 5.3424
_cell_angle_alpha 90.00
_cell_angle_beta 90.00
_cell_angle_gamma 90.00
loop_
_symmetry_equiv_pos_as_xyz
'x,y,z'
loop_
_atom_site_label
_atom_site_type_symbol
_atom_site_fract_x
_atom_site_fract_y
_atom_site_fract_z
H1 H 0.0000 0.5000 0.0000
Zn1 Zn 0.0000 0.0000 0.0000
Zr1 Zr 0.5000 0.0000 0.0000
Ag1 Ag 0.5000 0.5000 0.5000
Zr2 Zr 0.0000 0.0000 0.5000
```

Calculated values
**Space-group type**: P4/mmm
**Energy above the most stable polymorph in this dataset**: 0.703 eV/atom
**Crystal system**: tetragonal

---

Number 1: total DFT energy (no corrections) -0.3416 Ry/atom. Number 2: total DFT energy (no corrections) -0.4927 Ry/atom. Number 3: total DFT energy (no corrections) -0.6870 Ry/atom. Number 4: total DFT energy (no corrections) -0.3436 Ry/atom. Number 5: total DFT energy (no corrections) -0.4297 Ry/atom. Number 6: total DFT energy (no corrections) -0.3226 Ry/atom.